Entry 1:
Compound: TiHg2Pb
Source: Alexandria
Functional: PBE-GGA
Structure: optimized geometry

The structure belongs to space group P4/mmm (No. 123); the cell edges are 3.198, 3.198 and 9.067 Å and the angles 90.00°, 90.00° and 90.00°. The distinct sites, in fractional coordinates, are Ti at (0.000, 0.000, 0.000), Hg at (0.500, 0.500, 0.206) and Pb at (0.000, 0.000, 0.500).

As for the mass density: 11.75 g cm⁻³. The value obtained for the formation energy is 0.08 eV/atom. The calculation puts the total energy at -11.9 eV/f.u. The value obtained for the magnetization is 0.000 μB/atom.

Entry 2:
Compound: AcErCo
Source: Alexandria
Functional: PBE-GGA
Structure: optimized geometry

The structure belongs to space group C2/m (No. 12); the cell edges are 7.196, 4.158 and 12.175 Å and the angles 90.00°, 101.43° and 90.00°. The distinct sites, in fractional coordinates, are Ac at (0.114, 0.000, 0.341), Er at (0.202, 0.500, 0.106) and Co at (0.097, 0.500, 0.792).

As for the mass density: 8.43 g cm⁻³. The value obtained for the formation energy is -0.07 eV/atom. The calculation puts the total energy at -16.0 eV/f.u. For the distance to the lowest polymorph of the same formula, the calculation gives 0 meV/atom. The value obtained for the magnetization is 0.000 μB/atom.

Entry 3:
Compound: Ca2AcPr
Source: Alexandria
Functional: PBE-GGA
Structure: optimized geometry

The structure belongs to space group Fm-3m (No. 225); the cell edges are 8.666, 8.666 and 8.666 Å and the angles 90.00°, 90.00° and 90.00°. The distinct sites, in fractional coordinates, are Ca at (0.250, 0.250, 0.250), Ac at (0.000, 0.000, 0.000) and Pr at (0.000, 0.000, 0.500).

As for the mass density: 4.57 g cm⁻³. The value obtained for the formation energy is 0.08 eV/atom. The calculation puts the total energy at -12.6 eV/f.u. For the distance to the lowest polymorph of the same formula, the calculation gives 65 meV/atom. The value obtained for the magnetization is 0.000 μB/atom.

Entry 4:
Compound: LaPrHoCd
Source: Alexandria
Functional: PBE-GGA
Structure: optimized geometry

The structure belongs to space group P4mm (No. 99); the cell edges are 3.722, 3.722 and 9.135 Å and the angles 90.00°, 90.00° and 90.00°. The distinct sites, in fractional coordinates, are La at (0.000, 0.000, 0.000), Pr at (0.500, 0.500, 0.289), Ho at (0.000, 0.000, 0.558) and Cd at (0.500, 0.500, 0.758).

As for the mass density: 7.31 g cm⁻³. The value obtained for the formation energy is -0.15 eV/atom. The calculation puts the total energy at -15.8 eV/f.u. For the distance to the lowest polymorph of the same formula, the calculation gives 0 meV/atom. The value obtained for the magnetization is 0.000 μB/atom.

Entry 5:
Compound: Zr3CdMo
Source: Alexandria
Functional: PBE-GGA
Structure: optimized geometry

The structure belongs to space group Pm-3m (No. 221); the cell edges are 5.066, 5.066 and 5.066 Å and the angles 90.00°, 90.00° and 90.00°. The distinct sites, in fractional coordinates, are Zr at (0.000, 0.000, 0.500), Cd at (0.500, 0.500, 0.500) and Mo at (0.000, 0.000, 0.000).

As for the mass density: 6.16 g cm⁻³. The value obtained for the formation energy is 0.63 eV/atom. The calculation puts the total energy at -34.2 eV/f.u. For the distance to the lowest polymorph of the same formula, the calculation gives 0 meV/atom. The value obtained for the magnetization is 0.000 μB/atom.

Entry 6:
Compound: Ac2HoInO6
Source: Alexandria
Functional: PBE-GGA
Structure: optimized geometry

The structure belongs to space group P2_1/c (No. 14); the cell edges are 5.963, 6.127 and 10.395 Å and the angles 90.00°, 124.69° and 90.00°. The distinct sites, in fractional coordinates, are Ac at (0.236, 0.048, 0.249), Ho at (0.500, 0.000, 0.000), In at (0.000, 0.000, 0.500), O at (0.141, 0.204, 0.943), O at (0.238, 0.701, 0.942) and O at (0.355, 0.043, 0.748).

As for the mass density: 8.82 g cm⁻³. The calculation puts the formation energy without anion corrections at -2.98 eV/atom. The calculation puts the total energy at -75.1 eV/f.u. The value obtained for the magnetization is 0.000 μB/atom.